PBE KPNO2, optimized geometry; uncorrected energy = -13.9 eV/cell; symmetry = P4/mmm; raw formation energy = 2.160 eV/atom
1.0
-1.547 -4.498 -1.295
1.914 0.637 -4.498
6.099 -2.733 2.208
P O N K
1 2 1 1
direct
0.000 0.000 0.500
0.500 0.000 0.000
0.000 0.500 0.000
0.500 0.500 0.500
0.000 0.000 0.000

=====

PBE Mg2Be2Ni5Ge, optimized geometry; uncorrected energy = -94.8 eV/cell; symmetry = P4/mbm; energy relative to the elements = -7.50 kcal/mol of atoms
1.0
3.130 0.000 0.000
0.000 8.692 0.000
0.000 0.000 8.692
Be Mg Ni Ge
4 4 10 2
direct
0.000 0.880 0.380
0.000 0.380 0.120
0.000 0.120 0.620
0.000 0.620 0.880
0.000 0.825 0.675
0.000 0.175 0.325
0.000 0.675 0.175
0.000 0.325 0.825
0.500 0.570 0.710
0.500 0.210 0.070
0.500 0.790 0.930
0.500 0.930 0.210
0.500 0.500 0.000
0.500 0.430 0.290
0.500 0.290 0.570
0.500 0.000 0.500
0.500 0.070 0.790
0.500 0.710 0.430
0.000 0.000 0.000
0.000 0.500 0.500

=====

PBE SrMg2Ir, optimized geometry; uncorrected energy = -13.9 eV/cell; symmetry = I4/mmm; energy relative to the elements = -1.00 kcal/mol of atoms
1.0
5.269 0.021 0.000
1.379 5.085 0.000
-3.324 -2.553 3.193
Ir Sr Mg
1 1 2
direct
0.750 0.250 0.500
0.250 0.750 0.500
0.000 0.000 0.000
0.500 0.500 0.000

=====

PBE K3Ba, optimized geometry; uncorrected energy = -5.0 eV/cell; symmetry = P4/mmm; energy relative to the elements = 1.35 kcal/mol of atoms
1.0
4.394 0.000 0.000
0.000 4.394 0.000
0.000 0.000 14.363
K Ba
3 1
direct
0.500 0.500 0.753
0.000 0.000 0.500
0.500 0.500 0.247
0.000 0.000 0.000

=====

PBE Ti7Ni5Rh, optimized geometry; uncorrected energy = -95.9 eV/cell; symmetry = Imm2; energy relative to the elements = -7.74 kcal/mol of atoms
1.0
4.925 0.000 0.000
2.462 6.158 0.092
2.462 0.072 6.158
Ti Ni Rh
7 5 1
direct
0.205 0.795 0.795
0.563 0.437 0.437
0.548 0.792 0.112
0.015 0.677 0.293
0.548 0.112 0.792
0.275 0.225 0.225
0.015 0.293 0.677
0.026 0.982 0.465
0.527 0.982 0.465
0.527 0.465 0.982
0.803 0.697 0.697
0.026 0.465 0.982
0.922 0.078 0.078

=====

PBE SnOsCl6, optimized geometry; uncorrected energy = -62.5 eV/cell; symmetry = C2/c; raw formation energy = -0.617 eV/atom
1.0
-3.299 4.134 4.263
0.011 -2.726 6.222
8.613 4.662 1.776
Cl Sn Os
12 2 2
direct
0.856 0.435 0.296
0.435 0.856 0.796
0.142 0.201 0.000
0.407 0.752 0.116
0.799 0.858 0.500
0.144 0.565 0.704
0.752 0.407 0.616
0.593 0.248 0.884
0.565 0.144 0.204
0.858 0.799 0.000
0.248 0.593 0.384
0.201 0.142 0.500
0.987 0.013 0.750
0.013 0.987 0.250
0.000 0.500 0.500
0.500 0.000 0.000

=====

PBE La2HgN, optimized geometry; distance to the lowest polymorph of the same formula = 6 meV/atom; uncorrected energy = -21.9 eV/cell; symmetry = R3m; raw formation energy = -0.851 eV/atom
1.0
3.735 0.000 0.000
1.867 3.234 0.000
1.867 1.078 8.165
La N Hg
2 1 1
direct
0.275 0.275 0.176
0.057 0.057 0.828
0.668 0.668 0.997
0.500 0.500 0.499

=====

PBE Dy4GaGeS2, optimized geometry; uncorrected energy = -45.1 eV/cell; symmetry = I-4m2; raw formation energy = -1.352 eV/atom
1.0
5.713 0.003 0.000
-0.003 5.713 0.000
-2.855 -2.858 5.704
Dy Ga S Ge
4 1 2 1
direct
0.242 0.242 0.484
0.005 0.505 0.010
0.495 0.995 0.990
0.758 0.758 0.516
0.500 0.500 0.000
0.000 0.000 0.000
0.250 0.750 0.500
0.750 0.250 0.500

=====

PBE Pu2Cd2Au, optimized geometry; uncorrected energy = -67.8 eV/cell; symmetry = I4_1/amd; energy relative to the elements = -0.48 kcal/mol of atoms
1.0
4.759 0.000 0.000
0.000 4.759 0.000
-2.380 -2.380 12.071
Au Pu Cd
2 4 4
direct
0.250 0.750 0.500
0.500 0.500 0.000
0.823 0.823 0.647
0.177 0.177 0.353
0.573 0.073 0.147
0.927 0.427 0.853
0.326 0.326 0.653
0.674 0.674 0.347
0.076 0.576 0.153
0.424 0.924 0.847

=====

PBE Al3Zn2Rh, optimized geometry; uncorrected energy = -45.8 eV/cell; symmetry = C2/m; energy relative to the elements = -6.88 kcal/mol of atoms
1.0
-0.939 0.349 -3.854
-2.041 -5.585 -2.066
-7.440 2.004 1.055
Al Zn Rh
6 4 2
direct
0.132 0.657 0.221
0.212 0.657 0.779
0.460 0.000 0.240
0.540 0.000 0.760
0.788 0.343 0.221
0.868 0.343 0.779
0.000 0.000 0.500
0.672 0.657 0.500
0.000 0.000 0.000
0.328 0.343 0.500
0.657 0.687 0.000
0.343 0.313 0.000

=====

PBE BaLiTmI6, optimized geometry; uncorrected energy = -61.2 eV/cell; symmetry = P-31c; raw formation energy = -1.442 eV/atom
1.0
-4.311 5.960 2.595
-3.466 -6.257 -3.112
-0.657 -6.369 13.537
I Ba Li Tm
12 2 2 2
direct
0.998 0.365 0.135
0.634 0.635 0.635
0.365 0.366 0.865
0.366 0.365 0.365
0.635 0.002 0.365
0.634 0.998 0.865
0.366 0.002 0.135
0.002 0.366 0.635
0.635 0.634 0.135
0.365 0.998 0.635
0.998 0.634 0.365
0.002 0.635 0.865
0.000 0.000 0.000
0.000 0.000 0.500
0.667 0.333 0.750
0.333 0.667 0.250
0.333 0.667 0.750
0.667 0.333 0.250

=====

PBE Ba2ZnBr6, optimized geometry; distance to the lowest polymorph of the same formula = 0 meV/atom; uncorrected energy = -61.5 eV/cell; symmetry = P2_1/c; raw formation energy = -1.730 eV/atom
1.0
7.189 0.000 -0.011
0.000 8.407 0.000
0.315 0.000 10.104
Br Zn Ba
12 2 4
direct
0.188 0.340 0.953
0.096 0.019 0.256
0.688 0.160 0.453
0.337 0.798 0.949
0.904 0.981 0.744
0.163 0.298 0.551
0.663 0.202 0.051
0.404 0.519 0.244
0.596 0.481 0.756
0.812 0.660 0.047
0.312 0.840 0.547
0.837 0.702 0.449
0.000 0.000 0.500
0.500 0.500 0.000
0.539 0.893 0.243
0.039 0.607 0.743
0.461 0.107 0.757
0.961 0.393 0.257

=====

PBE HoPu2P, optimized geometry; uncorrected energy = -39.9 eV/cell; symmetry = R-3m; energy relative to the elements = -7.43 kcal/mol of atoms
1.0
3.644 0.000 0.000
1.822 3.156 0.000
1.822 1.052 9.497
P Pu Ho
1 2 1
direct
0.000 0.000 0.000
0.270 0.270 0.189
0.730 0.730 0.811
0.500 0.500 0.500

=====

PBE CoAgN, optimized geometry; distance to the lowest polymorph of the same formula = 0 meV/atom; uncorrected energy = -34.1 eV/cell; symmetry = P4/nmm; raw formation energy = 0.409 eV/atom
1.0
3.281 0.000 0.000
0.000 3.281 0.000
0.000 0.000 7.819
N Ag Co
2 2 2
direct
0.000 0.500 0.377
0.500 0.000 0.623
0.500 0.000 0.104
0.000 0.500 0.896
0.000 0.000 0.500
0.500 0.500 0.500

=====

PBE NdEr2Ag6, optimized geometry; uncorrected energy = -65.5 eV/cell; symmetry = C2/c; energy relative to the elements = -4.46 kcal/mol of atoms
1.0
5.287 0.180 0.583
0.739 8.578 2.394
0.318 -0.223 8.928
Ag Nd Er
12 2 4
direct
0.032 0.565 0.326
0.532 0.326 0.565
0.193 0.984 0.250
0.307 0.750 0.016
0.807 0.016 0.750
0.643 0.101 0.355
0.968 0.435 0.674
0.857 0.645 0.899
0.143 0.355 0.101
0.468 0.674 0.435
0.693 0.250 0.984
0.357 0.899 0.645
0.250 0.125 0.875
0.750 0.875 0.125
0.588 0.457 0.210
0.912 0.790 0.543
0.088 0.210 0.457
0.412 0.543 0.790

=====

PBE CaDy4S5, optimized geometry; uncorrected energy = -61.3 eV/cell; symmetry = C2/m; raw formation energy = -2.021 eV/atom
1.0
-2.435 2.633 1.551
0.751 -0.391 6.766
5.357 6.635 2.069
Dy S Ca
4 5 1
direct
0.197 0.397 0.208
0.803 0.603 0.792
0.598 0.208 0.597
0.402 0.792 0.403
0.198 0.905 0.698
0.802 0.095 0.302
0.604 0.694 0.099
0.396 0.306 0.901
0.000 0.500 0.500
0.000 0.000 0.000

=====

PBE CsRbRe3, optimized geometry; distance to the lowest polymorph of the same formula = 0 meV/atom; uncorrected energy = -19.5 eV/cell; symmetry = Pm-3m; energy relative to the elements = 90.73 kcal/mol of atoms
1.0
5.176 0.000 0.000
0.000 5.176 0.000
0.000 0.000 5.176
Re Cs Rb
3 1 1
direct
0.000 0.000 0.500
0.000 0.500 0.000
0.500 0.000 0.000
0.000 0.000 0.000
0.500 0.500 0.500

=====

PBE Y2AlCu, optimized geometry; uncorrected energy = -20.2 eV/cell; symmetry = F-43m; energy relative to the elements = 3.19 kcal/mol of atoms
1.0
5.001 0.000 0.000
2.501 4.331 0.000
2.501 1.444 4.084
Y Cu Al
2 1 1
direct
0.250 0.250 0.250
0.000 0.000 0.000
0.750 0.750 0.750
0.500 0.500 0.500

=====

PBE PmIr2Rh, optimized geometry; distance to the lowest polymorph of the same formula = 0 meV/atom; uncorrected energy = -30.9 eV/cell; symmetry = P4/mmm; energy relative to the elements = -6.24 kcal/mol of atoms
1.0
4.211 0.000 0.000
0.000 4.062 0.000
0.000 0.000 4.062
Rh Pm Ir
1 1 2
direct
0.500 0.000 0.000
0.500 0.500 0.500
0.000 0.000 0.500
0.000 0.500 0.000

=====

PBE HgTe2P, optimized geometry; distance to the lowest polymorph of the same formula = 68 meV/atom; uncorrected energy = -11.2 eV/cell; symmetry = R3m; raw formation energy = 0.194 eV/atom
1.0
-2.398 4.884 -4.976
-5.696 3.874 -2.629
-2.918 6.657 -1.237
Hg Te P
1 2 1
direct
0.510 0.510 0.510
0.751 0.751 0.751
0.988 0.988 0.988
0.251 0.251 0.251

=====

PBE Li5Y2Cd12, optimized geometry; uncorrected energy = -37.5 eV/cell; symmetry = R-3m; energy relative to the elements = -4.94 kcal/mol of atoms
1.0
-5.567 3.312 -3.662
-5.473 -4.512 2.250
-2.493 4.208 5.608
Li Y Cd
5 2 12
direct
0.901 0.901 0.901
0.500 0.000 0.000
0.099 0.099 0.099
0.000 0.500 0.000
0.000 0.000 0.500
0.657 0.657 0.657
0.343 0.343 0.343
0.702 0.298 0.000
0.298 0.000 0.702
0.859 0.346 0.346
0.654 0.141 0.654
0.141 0.654 0.654
0.346 0.859 0.346
0.702 0.000 0.298
0.298 0.702 0.000
0.000 0.298 0.702
0.346 0.346 0.859
0.654 0.654 0.141
0.000 0.702 0.298